## NiOF2 (PBE with a Hubbard U)

Data for a relaxed structure of NiOF2.

The structure in CIF format:
```
data_NiOF2
_symmetry_space_group_name_H-M 'F m -3 m'
_symmetry_Int_Tables_number 225
_symmetry_space_group_name_Hall '-F 4 2 3'
_cell_length_a 5.335
_cell_length_b 5.335
_cell_length_c 5.335
_cell_angle_alpha 90.00
_cell_angle_beta 90.00
_cell_angle_gamma 90.00
loop_
_atom_site_label
_atom_site_type_symbol
_atom_site_fract_x
_atom_site_fract_y
_atom_site_fract_z
Ni1 Ni 0.000 0.000 0.000
O1 O 0.000 0.000 0.500
F1 F 0.250 0.250 0.250
```

Values from the calculation:
Its calculated total energy is -2.84 eV per atom. As for the energy above the most stable polymorph in this dataset: 1545 meV/atom.